(1)
A plane-wave DFT calculation with GGA-PBE was carried out for crystalline ZrNiP2 at its relaxed geometry.

a b c (Å): 3.6118 3.6118 8.9957
angles (deg): 90.00 90.00 90.00
With the nearest neighbours (Å) after each atom.
Fractional coordinates of all 8 atoms:
Zr 0.0000 0.5000 0.7699  8 P 2.75-2.76, 4 Ni 3.03
Zr 0.5000 0.0000 0.2301  8 P 2.75-2.76, 4 Ni 3.03
Ni 0.5000 0.5000 0.5000  4 P 2.28, 4 Ni 2.55
Ni 0.0000 0.0000 0.5000  4 P 2.28, 4 Ni 2.55
P 0.5000 0.5000 0.0000  4 P 2.55, 4 Zr 2.75
P 0.0000 0.0000 0.0000  4 P 2.55, 4 Zr 2.75
P 0.0000 0.5000 0.3450  4 Ni 2.28
P 0.5000 0.0000 0.6550  4 Ni 2.28

Calculated values
- total DFT energy (no corrections) (eV per atom) = -7.230
- crystal system = tetragonal
- ΔE_f (meV per atom) = -943

***

(2)
A plane-wave DFT calculation with GGA-PBE was carried out for crystalline K2ThPaSe4 at its relaxed geometry.

a b c (Å): 4.1777 7.2752 8.2575
angles (deg): 106.91 90.00 90.00
With the nearest neighbours (Å) after each atom.
Fractional coordinates of all 8 atoms:
K 0.5000 0.0000 0.5000  6 Se 3.28
K 0.0000 0.5000 0.5000  6 Se 3.32
Th 0.5000 0.5000 0.0000  6 Se 2.98
Pa 0.0000 0.0000 0.0000  6 Se 2.94
Se 0.5000 0.2338 0.2145  2 Pa 2.94, 1 Th 2.98, 1 K 3.28
Se 0.5000 0.7662 0.7855  2 Pa 2.94, 1 Th 2.98, 1 K 3.28
Se 0.0000 0.2561 0.7829  1 Pa 2.94, 2 Th 2.98, 2 K 3.28
Se 0.0000 0.7439 0.2171  1 Pa 2.94, 2 Th 2.98, 2 K 3.28

Calculated values
- total DFT energy (no corrections) (eV per atom) = -5.554
- crystal system = monoclinic
- formation energy (no corrections) (eV per atom) = -1.423

***

(3)
A plane-wave DFT calculation with GGA-PBE was carried out for crystalline CrPtAuS2 at its relaxed geometry.

a b c (Å): 4.6087 5.1074 4.6087
angles (deg): 90.00 90.00 90.00
With the nearest neighbours (Å) after each atom.
Fractional coordinates of all 5 atoms:
Cr 0.0000 0.5000 0.0000  2 Pt 2.55
S 0.0000 0.0000 0.5000  2 Pt 2.30
S 0.5000 0.0000 0.0000  2 Pt 2.30
Au 0.5000 0.5000 0.5000  4 Cr 3.26, 8 S 3.44
Pt 0.0000 0.0000 0.0000  4 S 2.30, 2 Cr 2.55

Calculated values
- total DFT energy (no corrections) (eV per atom) = -4.725
- crystal system = tetragonal
- formation energy (no corrections) (eV per atom) = 0.714